The following is a PBE calculation of an optimized crystal structure of Be2AsBr, from Alexandria via LeMat-Bulk.

a b c (Å): 6.3315 6.3315 6.3315
angles (deg): 90.00 90.00 90.00
Closest atoms and distances in Å follow each position.
Space group Fm-3m (No. 225)
Unique sites:
1 Be 0.2500 0.2500 0.2500  4 As 2.74, 4 Br 2.74
2 As 0.0000 0.0000 0.0000  8 Be 2.74
3 Br 0.0000 0.0000 0.5000  8 Be 2.74

energy above the most stable polymorph in this dataset = 1116 meV/atom
formation energy (no corrections) = 0.82 eV/atom
D(E_F) = 8.4 states/eV per cell
total energy = -2.62 eV per atom

The following is a PBE calculation of an optimized crystal structure of BeAs2Br, from Alexandria via LeMat-Bulk.

a b c (Å): 3.1145 4.4209 14.3595
angles (deg): 90.00 90.00 90.00
Closest atoms and distances in Å follow each position.
Space group Imm2 (No. 44)
Unique sites:
1 Be 0.0000 0.0000 0.0000  2 Br 2.24
2 As 0.0000 0.0000 0.4459  2 As 2.59, 4 Be 2.81
3 As 0.0000 0.5000 0.3519  2 As 2.59, 2 Be 2.64
4 Br 0.0000 0.5000 0.6117  2 Be 2.24

energy above the most stable polymorph in this dataset = 154 meV/atom
formation energy (no corrections) = 0.07 eV/atom
D(E_F) = 1.9 states/eV per cell
total energy = -3.60 eV per atom

The following is a PBE calculation of an optimized crystal structure of BeAs2Br, from Alexandria via LeMat-Bulk.

a b c (Å): 4.7279 4.7279 6.6628
angles (deg): 90.00 90.00 90.00
Closest atoms and distances in Å follow each position.
Space group I-4m2 (No. 119)
Unique sites:
1 Be 0.0000 0.0000 0.0000  4 As 2.89, 4 Br 2.89
2 As 0.0000 0.0000 0.5000  4 As 2.89, 4 Br 2.89
3 As 0.0000 0.5000 0.7500  4 As 2.89, 4 Be 2.89
4 Br 0.0000 0.5000 0.2500  4 As 2.89, 4 Be 2.89

energy above the most stable polymorph in this dataset = 792 meV/atom
formation energy (no corrections) = 0.71 eV/atom
D(E_F) = 3.6 states/eV per cell
total energy = -2.97 eV per atom

The following is a PBE calculation of an optimized crystal structure of BeAsBr4, from Alexandria via LeMat-Bulk.

a b c (Å): 8.8493 8.8493 8.8493
angles (deg): 90.00 90.00 90.00
Closest atoms and distances in Å follow each position.
Space group F-43m (No. 216)
Unique sites:
1 Be 0.0000 0.0000 0.0000  12 Br 3.67, 4 As 3.83
2 As 0.2500 0.2500 0.2500  12 Br 3.67, 4 Be 3.83
3 Br 0.1253 0.1253 0.6253  6 Br 3.12-3.14

formation energy (no corrections) = 1.22 eV/atom
D(E_F) = 27.6 states/eV per cell
total energy = -1.29 eV per atom

no.,total moment (μB/f.u.)
1,0.000
2,0.000
3,0.000
4,1.213